Entry 1:
{
  "formula": "Ti3ZnN",
  "functional": "PBE-GGA",
  "state": "optimized geometry",
  "lattice": [[1.537, -5.361, 0.000], [1.537, 5.361, 0.000], [0.000, 0.000, 8.345]],
  "species": ["Ti", "Ti", "Ti", "Ti", "Ti", "Ti", "Zn", "Zn", "N", "N"],
  "frac_coords": [[0.037, 0.963, 0.750], [0.375, 0.625, 0.541], [0.375, 0.625, 0.959], [0.625, 0.375, 0.041], [0.625, 0.375, 0.459], [0.963, 0.037, 0.250], [0.255, 0.745, 0.250], [0.745, 0.255, 0.750], [0.000, 0.000, 0.000], [0.000, 0.000, 0.500]],
  "e_above_lowest_polymorph_mev_per_atom": 0,
  "raw_formation_energy_ev_per_atom": -0.899,
  "volume_a3_per_cell": 138
}

Entry 2:
{
  "formula": "AsRu2W",
  "functional": "PBE-GGA",
  "state": "optimized geometry",
  "lattice": [[2.701, -4.281, 0.000], [2.701, 4.281, 0.000], [-1.144, 0.000, 2.605]],
  "species": ["As", "Ru", "Ru", "W"],
  "frac_coords": [[0.000, 0.000, 0.000], [0.000, 0.500, 0.500], [0.500, 0.000, 0.500], [0.500, 0.500, 0.000]],
  "formation_energy_ev_per_fu": 1.31,
  "volume_a3_per_cell": 60
}

Entry 3:
{
  "formula": "Ta2TiBeCl",
  "functional": "PBE-GGA",
  "state": "optimized geometry",
  "lattice": [[4.482, 0.000, 0.000], [0.000, 4.482, 0.000], [0.000, 0.000, 4.461]],
  "species": ["Ta", "Ta", "Ti", "Be", "Cl"],
  "frac_coords": [[0.000, 0.500, 0.000], [0.500, 0.000, 0.000], [0.000, 0.000, 0.500], [0.000, 0.000, 0.000], [0.500, 0.500, 0.500]],
  "raw_formation_energy_ev_per_atom": 0.932,
  "volume_a3_per_cell": 90
}

Entry 4:
{
  "formula": "Sc2SbTe2",
  "functional": "PBE-GGA",
  "state": "optimized geometry",
  "lattice": [[2.067, 1.194, 10.164], [-2.067, 1.194, 10.164], [0.000, -2.387, 10.164]],
  "species": ["Sc", "Sc", "Sb", "Te", "Te"],
  "frac_coords": [[0.108, 0.108, 0.108], [0.892, 0.892, 0.892], [0.500, 0.500, 0.500], [0.278, 0.278, 0.278], [0.722, 0.722, 0.722]],
  "e_above_lowest_polymorph_mev_per_atom": 0,
  "raw_formation_energy_ev_per_atom": -0.943,
  "volume_a3_per_cell": 150
}

Entry 5:
{
  "formula": "LiMnNb2Ag",
  "functional": "PBE-GGA",
  "state": "optimized geometry",
  "lattice": [[4.983, 0.000, 0.000], [0.000, 4.983, 0.000], [0.000, 0.000, 3.972]],
  "species": ["Li", "Mn", "Nb", "Nb", "Ag"],
  "frac_coords": [[0.000, 0.000, 0.000], [0.500, 0.500, 0.000], [0.000, 0.500, 0.500], [0.500, 0.000, 0.500], [0.000, 0.000, 0.500]],
  "formation_energy_ev_per_fu": 8.79,
  "volume_a3_per_cell": 99
}

Entry 6:
{
  "formula": "RbUS2",
  "functional": "PBE-GGA",
  "state": "optimized geometry",
  "lattice": [[3.495, 0.000, 0.000], [0.000, 3.495, 0.000], [0.000, 0.000, 7.879]],
  "species": ["Rb", "U", "S", "S"],
  "frac_coords": [[0.000, 0.000, 0.000], [0.000, 0.000, 0.500], [0.500, 0.500, 0.302], [0.500, 0.500, 0.698]],
  "raw_formation_energy_ev_per_atom": -1.214,
  "volume_a3_per_cell": 96
}

no.,total magnetic moment (μB/f.u.)
1,0.0
2,0.0
3,0.0
4,0.0
5,0.0
6,2.8